GaCu2Sb2 | PBE | relaxed Values from VASP.

Output
E_form (uncorrected) = 0.267 eV per atom
Fermi-level density of states = 0.620 states/eV per atom
E above lowest polymorph = 0.55 eV/f.u.
Symmetry = I4/mmm

The structure in Quantum ESPRESSO input format:
```
&SYSTEM
  ibrav = 0, nat = 10, ntyp = 3
/
ATOMIC_SPECIES
Ga 69.72 Ga.upf
Cu 63.55 Cu.upf
Sb 121.76 Sb.upf
ATOMIC_POSITIONS angstrom
Ga 0.000 0.000 0.000
Ga 2.407 2.407 4.783
Cu 0.000 0.000 3.545
Cu 0.000 0.000 6.020
Cu 2.407 2.407 1.237
Cu 2.407 2.407 8.328
Sb 0.000 2.407 2.391
Sb 0.000 2.407 7.174
Sb 2.407 0.000 2.391
Sb 2.407 0.000 7.174
CELL_PARAMETERS angstrom
4.813 0.000 0.000
0.000 4.813 0.000
0.000 0.000 9.565
```